1.
Ba7Sr5: relaxed, PBE.

a b c (Å): 18.2688 18.2688 18.2688
angles (deg): 21.96 21.96 21.96
Closest atoms and distances in Å follow each position.
Positions (direct):
1 Ba 0.0000 0.0000 0.0000  6 Sr 4.13
2 Ba 0.1923 0.1923 0.1923  7 Sr 4.25-4.46, 1 Ba 4.43
3 Ba 0.2751 0.2751 0.2751  4 Sr 4.08-4.55, 4 Ba 4.41-4.43
4 Ba 0.4257 0.4257 0.4257  5 Sr 3.97-4.11, 3 Ba 4.41
5 Ba 0.5743 0.5743 0.5743  5 Sr 3.97-4.11, 3 Ba 4.41
6 Ba 0.7249 0.7249 0.7249  4 Sr 4.08-4.55, 4 Ba 4.41-4.43
7 Ba 0.8077 0.8077 0.8077  7 Sr 4.25-4.46, 1 Ba 4.43
8 Sr 0.1088 0.1088 0.1088  7 Ba 4.11-4.46
9 Sr 0.3515 0.3515 0.3515  5 Ba 3.97-4.13
10 Sr 0.5000 0.5000 0.5000  8 Ba 3.97-4.25
11 Sr 0.6485 0.6485 0.6485  5 Ba 3.97-4.13
12 Sr 0.8912 0.8912 0.8912  7 Ba 4.11-4.46

Values from the calculation:
- formation enthalpy at 0 K (eV/f.u.) = 1.2
- energy relative to the lowest polymorph listed for this composition (meV per atom) = 95

2.
BaSr3: relaxed, PBE.

a b c (Å): 6.1109 6.1109 6.1109
angles (deg): 90.00 90.00 90.00
Closest atoms and distances in Å follow each position.
Positions (direct):
1 Ba 0.0000 0.0000 0.0000  12 Sr 4.32
2 Sr 0.0000 0.5000 0.5000  8 Sr 4.32, 4 Ba 4.32
3 Sr 0.5000 0.0000 0.5000  8 Sr 4.32, 4 Ba 4.32
4 Sr 0.5000 0.5000 0.0000  8 Sr 4.32, 4 Ba 4.32

Values from the calculation:
- formation enthalpy at 0 K (eV/f.u.) = 0.0
- energy relative to the lowest polymorph listed for this composition (meV per atom) = 3

3.
Ba3Sr: relaxed, PBE.

a b c (Å): 8.5735 8.5735 7.0129
angles (deg): 90.00 90.00 109.63
Closest atoms and distances in Å follow each position.
Positions (direct):
1 Ba 0.1241 0.8759 0.7500  8 Ba 4.28-4.30
2 Ba 0.1259 0.3775 0.7500  4 Ba 4.28-4.30, 4 Sr 4.28-4.29
3 Ba 0.3775 0.1259 0.2500  4 Ba 4.28-4.30, 4 Sr 4.28-4.29
4 Ba 0.6225 0.8741 0.7500  4 Ba 4.28-4.30, 4 Sr 4.28-4.29
5 Ba 0.8741 0.6225 0.2500  4 Ba 4.28-4.30, 4 Sr 4.28-4.29
6 Ba 0.8759 0.1241 0.2500  8 Ba 4.28-4.30
7 Sr 0.3749 0.6251 0.2500  8 Ba 4.28-4.29
8 Sr 0.6251 0.3749 0.7500  8 Ba 4.28-4.29

Values from the calculation:
- formation enthalpy at 0 K (eV/f.u.) = 0.0
- energy relative to the lowest polymorph listed for this composition (meV per atom) = 1

4.
Ba24Sr5: relaxed, PBE.

a b c (Å): 13.2802 13.2802 13.2802
angles (deg): 109.47 109.47 109.47
Closest atoms and distances in Å follow each position.
Positions (direct):
1 Ba 0.0000 0.1890 0.3770  8 Ba 4.08-4.43
2 Ba 0.0000 0.3770 0.1890  8 Ba 4.08-4.43
3 Ba 0.0000 0.4125 0.6884  11 Ba 4.21-4.69, 1 Sr 4.27
4 Ba 0.0000 0.6884 0.4125  11 Ba 4.21-4.69, 1 Sr 4.27
5 Ba 0.1880 0.8110 0.8110  8 Ba 4.08-4.43
6 Ba 0.1890 0.0000 0.3770  8 Ba 4.08-4.43
7 Ba 0.1890 0.3770 0.0000  8 Ba 4.08-4.43
8 Ba 0.2759 0.5875 0.5875  11 Ba 4.21-4.69, 1 Sr 4.27
9 Ba 0.3116 0.3116 0.7241  11 Ba 4.21-4.69, 1 Sr 4.27
10 Ba 0.3116 0.7241 0.3116  11 Ba 4.21-4.69, 1 Sr 4.27
11 Ba 0.3770 0.0000 0.1890  8 Ba 4.08-4.43
12 Ba 0.3770 0.1890 0.0000  8 Ba 4.08-4.43
13 Ba 0.4125 0.0000 0.6884  11 Ba 4.21-4.69, 1 Sr 4.27
14 Ba 0.4125 0.6884 0.0000  11 Ba 4.21-4.69, 1 Sr 4.27
15 Ba 0.5875 0.2759 0.5875  11 Ba 4.21-4.69, 1 Sr 4.27
16 Ba 0.5875 0.5875 0.2759  11 Ba 4.21-4.69, 1 Sr 4.27
17 Ba 0.6230 0.6230 0.8120  8 Ba 4.08-4.43
18 Ba 0.6230 0.8120 0.6230  8 Ba 4.08-4.43
19 Ba 0.6884 0.0000 0.4125  11 Ba 4.21-4.69, 1 Sr 4.27
20 Ba 0.6884 0.4125 0.0000  11 Ba 4.21-4.69, 1 Sr 4.27
21 Ba 0.7241 0.3116 0.3116  11 Ba 4.21-4.69, 1 Sr 4.27
22 Ba 0.8110 0.1880 0.8110  8 Ba 4.08-4.43
23 Ba 0.8110 0.8110 0.1880  8 Ba 4.08-4.43
24 Ba 0.8120 0.6230 0.6230  8 Ba 4.08-4.43
25 Sr 0.0000 0.0000 0.0000  4 Sr 4.69, 12 Ba 4.80
26 Sr 0.0000 0.0000 0.6467  9 Ba 4.27-4.64, 1 Sr 4.69
27 Sr 0.0000 0.6467 0.0000  9 Ba 4.27-4.64, 1 Sr 4.69
28 Sr 0.3533 0.3533 0.3533  9 Ba 4.27-4.64, 1 Sr 4.69
29 Sr 0.6467 0.0000 0.0000  9 Ba 4.27-4.64, 1 Sr 4.69

Values from the calculation:
- formation enthalpy at 0 K (eV/f.u.) = 1.8

Density in Mg/m³, matching the order above: 3.1, 2.9, 3.4, 3.4